# 1
Material: HoEr5In2
Method: DFT, PBE-GGA
State: optimized geometry

```
8
Lattice="3.513 0.000 0.000 1.757 8.182 -0.467 1.757 2.016 7.943" Properties=species:S:1:pos:R:3 pbc="T T T"
Ho 0.000 0.000 0.000
Er 1.757 5.099 3.738
Er 3.513 5.152 0.818
Er 3.513 5.047 6.658
Er 3.513 7.868 2.809
Er 3.513 2.330 4.667
In 5.270 7.742 5.676
In 1.757 2.456 1.800
```

Formation enthalpy at 0 K in kcal/mol of atoms: -3.8
E_tot in eV per atom: -4.27
Space group: Immm (71)

***

# 2
Material: HoScPa2Tc4
Method: DFT, PBE-GGA
State: optimized geometry

```
8
Lattice="4.593 0.000 0.000 2.296 3.977 0.000 2.296 1.326 8.514" Properties=species:S:1:pos:R:3 pbc="T T T"
Ho 0.000 0.000 0.000
Sc 4.593 2.651 4.257
Pa 6.889 3.977 6.318
Pa 2.296 1.326 2.196
Tc 4.593 2.651 7.098
Tc 6.889 3.977 3.248
Tc 2.296 1.326 5.266
Tc 4.593 2.651 1.416
```

Formation enthalpy at 0 K in kcal/mol of atoms: -6.3
E_tot in eV per atom: -9.19
Space group: R-3m (166)

***

# 3
Material: Ca2PuPb9
Method: DFT, PBE-GGA
State: optimized geometry

```
12
Lattice="4.913 0.000 0.000 0.000 4.913 0.000 0.000 0.000 14.765" Properties=species:S:1:pos:R:3 pbc="T T T"
Ca 0.000 0.000 4.861
Ca 0.000 0.000 9.904
Pu 0.000 0.000 0.000
Pb 2.456 2.456 0.000
Pb 2.456 2.456 4.918
Pb 2.456 2.456 9.846
Pb 2.456 0.000 2.430
Pb 2.456 0.000 7.382
Pb 2.456 0.000 12.335
Pb 0.000 2.456 2.430
Pb 0.000 2.456 7.382
Pb 0.000 2.456 12.335
```

Formation enthalpy at 0 K in kcal/mol of atoms: -6.1
E_tot in eV per atom: -4.57
Space group: P4/mmm (123)

***

# 4
Material: SrPmHgPt
Method: DFT, PBE-GGA
State: optimized geometry

```
4
Lattice="-0.122 -2.687 4.557 4.314 -2.567 1.675 2.679 1.788 4.199" Properties=species:S:1:pos:R:3 pbc="T T T"
Sr 1.718 -0.866 2.608
Hg 0.000 0.000 0.000
Pt 3.436 -1.733 5.215
Pm 5.154 -2.599 7.823
```

Formation enthalpy at 0 K in kcal/mol of atoms: -15.0
E_tot in eV per atom: -3.85
Space group: F-43m (216)

***

# 5
Material: MgNbPd14
Method: DFT, PBE-GGA
State: optimized geometry

```
16
Lattice="-1.452 -1.144 5.320 -2.845 -4.534 -1.751 6.445 -4.361 0.821" Properties=species:S:1:pos:R:3 pbc="T T T"
Mg 1.611 -4.310 1.749
Nb -0.538 -7.149 3.533
Pd -3.760 -4.968 3.123
Pd -1.611 -2.129 1.338
Pd 0.885 -4.882 4.409
Pd -2.337 -2.701 3.999
Pd 0.188 -6.577 0.873
Pd -3.034 -4.396 0.463
Pd 0.377 -2.381 3.332
Pd 3.548 -4.527 3.736
Pd -0.327 -4.093 -0.238
Pd 2.845 -6.239 0.166
Pd -1.059 -4.670 2.448
Pd 2.112 -6.816 2.852
Pd 1.110 -1.804 0.646
Pd 4.281 -3.950 1.050
```

Formation enthalpy at 0 K in kcal/mol of atoms: -5.8
E_tot in eV per atom: -5.52
Space group: P4/mmm (123)

***

# 6
Material: Pm4In2Br5
Method: DFT, PBE-GGA
State: optimized geometry

```
11
Lattice="-0.153 -2.073 3.279 -2.093 -7.328 -4.731 11.369 -3.722 -4.120" Properties=species:S:1:pos:R:3 pbc="T T T"
Pm 2.533 -6.665 -1.797
Pm -1.035 -5.551 -3.558
Pm 6.590 -6.458 -3.775
Pm 10.158 -7.571 -2.014
In 0.351 -4.743 -0.684
In 8.772 -8.379 -4.888
Br 1.345 -7.147 -4.456
Br 7.778 -5.975 -1.116
Br 4.433 -4.556 -2.673
Br -0.077 -1.037 1.640
Br 4.690 -8.566 -2.898
```

E_tot in eV per atom: -4.16
Energy relative to the elements, uncorrected in eV per atom: -1.170
Space group: C2/m (12)

***

# 7
Material: Tb2HoTlO
Method: DFT, PBE-GGA
State: optimized geometry

```
5
Lattice="-0.707 -3.482 3.154 4.751 -0.295 0.739 -0.345 3.264 3.526" Properties=species:S:1:pos:R:3 pbc="T T T"
Tb -0.173 1.632 1.763
Tb 2.376 -0.148 0.369
Ho -0.353 -1.741 1.577
Tl 1.850 -0.256 3.709
O 0.000 0.000 0.000
```

E_tot in eV per atom: -5.59
Energy relative to the elements, uncorrected in eV per atom: -1.359
Space group: P4/mmm (123)

***

# 8
Material: Li2YBr
Method: DFT, PBE-GGA
State: optimized geometry

```
4
Lattice="-2.650 1.474 4.138 0.450 -2.606 4.397 2.439 2.106 3.992" Properties=species:S:1:pos:R:3 pbc="T T T"
Br 0.120 0.487 6.264
Li 0.000 0.000 0.000
Li 0.060 0.244 3.132
Y 0.179 0.731 9.395
```

E_tot in eV per atom: -3.10
Energy relative to the elements, uncorrected in eV per atom: -0.105
Space group: F-43m (216)
Polymorph energy (0 for the lowest one) in kJ per mole of atoms: 41.4

***

# 9
Material: LuZrFe4
Method: DFT, PBE-GGA
State: optimized geometry

```
6
Lattice="-3.861 0.579 -3.153 -4.707 -0.328 1.710 -2.864 4.112 0.269" Properties=species:S:1:pos:R:3 pbc="T T T"
Lu 0.000 0.000 0.000
Fe -5.713 0.670 -0.869
Fe -4.791 2.892 -1.590
Fe -7.146 2.728 -0.734
Fe -5.214 2.438 0.843
Zr -2.858 1.091 -0.294
```

Formation enthalpy at 0 K in kcal/mol of atoms: -5.7
E_tot in eV per atom: -8.07
Space group: F-43m (216)

***

# 10
Material: LiCe2ZrP4
Method: DFT, PBE-GGA
State: optimized geometry

```
8
Lattice="3.965 0.000 0.000 0.000 6.953 0.151 0.000 -2.398 6.134" Properties=species:S:1:pos:R:3 pbc="T T T"
Li 1.983 3.477 0.075
Ce 1.983 -1.199 3.067
Ce 0.000 2.278 3.142
Zr 0.000 0.000 0.000
P 1.983 1.107 1.470
P 1.983 3.448 4.814
P 0.000 -0.120 4.711
P 0.000 4.675 1.573
```

Formation enthalpy at 0 K in kcal/mol of atoms: -26.4
E_tot in eV per atom: -6.64
Space group: P2/m (10)

***

# 11
Material: Zr2TaAuN
Method: DFT, PBE-GGA
State: optimized geometry

```
5
Lattice="4.545 0.000 0.000 0.000 4.545 0.000 0.000 0.000 4.143" Properties=species:S:1:pos:R:3 pbc="T T T"
N 0.000 0.000 0.000
Au 2.273 2.273 2.071
Zr 0.000 2.273 0.000
Zr 2.273 0.000 0.000
Ta 0.000 0.000 2.071
```

E_tot in eV per atom: -8.91
Energy relative to the elements, uncorrected in eV per atom: -0.802
Space group: P4/mmm (123)

***

# 12
Material: NbGeAu2
Method: DFT, PBE-GGA
State: optimized geometry

```
8
Lattice="3.825 0.000 0.000 0.000 3.825 0.000 1.913 1.913 10.344" Properties=species:S:1:pos:R:3 pbc="T T T"
Nb 0.000 0.000 0.000
Nb 3.825 1.913 5.172
Au 2.865 0.956 2.586
Au 0.961 2.869 2.586
Au 2.869 2.874 7.758
Au 4.782 4.777 7.758
Ge 1.913 1.913 0.000
Ge 1.913 3.825 5.172
```

Formation enthalpy at 0 K in kcal/mol of atoms: 1.8
E_tot in eV per atom: -5.23
Space group: I-42d (122)